# NiBi2BF

NiBi2BF after structural relaxation (GGA-PBEsol, Alexandria via LeMat-Bulk).

The structure in POSCAR format:
```
NiBi2BF
1.0
3.7532 0.0000 0.0000
0.0000 4.9385 0.0000
0.0000 0.0000 4.9385
Ni B Bi F
1 1 2 1
Direct
0.5000 0.0000 0.0000
0.0000 0.0000 0.0000
0.0000 0.0000 0.5000
0.0000 0.5000 0.0000
0.5000 0.5000 0.5000
```

Properties
Calculated volume (Å³ per atom): 18.31
N(E_F) (states/eV/cell): 1.80
SG: P4/mmm, No. 123
VASP energy (eV/atom): -4.696
ΔE_f (raw) (eV/atom): 0.0387